Entry 1:
Material: NpPaTa
Method: DFT, PBE
State: relaxed

Summary:
- Theoretical density: 17.1 g/cm3
- Relative energy among the computed polymorphs: 0 meV/atom
- Energy of formation from the pure elements: 0.31 eV/atom
- Spin magnetization: 2.16 μB/cell

a = 3.5515 Å, b = 3.5515 Å, c = 5.5861 Å
α = 108.54°, β = 108.54°, γ = 90.00°
With the nearest neighbours (Å) after each atom.
Fractional coordinates of all 3 atoms:
Ta 0.3281 0.3281 0.6563  5 Np 3.02-3.31, 5 Pa 3.11-3.16
Np 0.6601 0.6601 0.3202  4 Pa 2.91, 4 Ta 3.02
Pa 0.0118 0.0118 0.0236  4 Np 2.91, 5 Ta 3.11-3.16

Entry 2:
Material: NpPaTa
Method: DFT, PBE
State: relaxed

Summary:
- Theoretical density: 16.4 g/cm3
- Relative energy among the computed polymorphs: 268 meV/atom
- Energy of formation from the pure elements: 0.57 eV/atom
- Spin magnetization: 0.00 μB/cell

a = 3.0976 Å, b = 3.0976 Å, c = 13.8563 Å
α = 96.42°, β = 96.42°, γ = 90.00°
With the nearest neighbours (Å) after each atom.
Fractional coordinates of all 6 atoms:
Ta 0.5489 0.5489 0.0979  1 Ta 2.68
Ta 0.4511 0.4511 0.9021  1 Ta 2.68
Pa 0.1357 0.1357 0.2714  4 Pa 3.10, 4 Ta 3.23, 4 Np 3.30
Pa 0.8643 0.8643 0.7286  4 Pa 3.10, 4 Ta 3.23, 4 Np 3.30
Np 0.7257 0.7257 0.4513  4 Np 2.56
Np 0.2743 0.2743 0.5487  4 Np 2.56

Entry 3:
Material: NpPaTc4
Method: DFT, PBE
State: relaxed

Summary:
- Theoretical density: 13.1 g/cm3
- Energy of formation from the pure elements: 0.00 eV/atom
- Spin magnetization: 2.75 μB/cell

a = 5.3566 Å, b = 5.3566 Å, c = 5.3566 Å
α = 60.00°, β = 60.00°, γ = 60.00°
With the nearest neighbours (Å) after each atom.
Fractional coordinates of all 6 atoms:
Tc 0.1257 0.6248 0.6248  6 Tc 2.67-2.68
Tc 0.6248 0.6248 0.6248  6 Tc 2.67-2.68
Tc 0.6248 0.6248 0.1257  6 Tc 2.67-2.68
Tc 0.6248 0.1257 0.6248  6 Tc 2.67-2.68
Pa 0.0000 0.0000 0.0000  12 Tc 3.14, 4 Np 3.28
Np 0.2500 0.2500 0.2500  12 Tc 3.14, 4 Pa 3.28

Entry 4:
Material: NpPaVTc
Method: DFT, PBE
State: relaxed

Summary:
- Theoretical density: 14.3 g/cm3
- Energy of formation from the pure elements: 0.14 eV/atom
- Spin magnetization: 3.46 μB/cell

a = 4.6668 Å, b = 4.6668 Å, c = 4.6668 Å
α = 60.00°, β = 60.00°, γ = 60.00°
With the nearest neighbours (Å) after each atom.
Fractional coordinates of all 4 atoms:
Pa 0.0000 0.0000 0.0000  4 Np 2.86, 4 Tc 2.86
Tc 0.2500 0.2500 0.2500  4 Pa 2.86, 4 V 2.86
Np 0.7500 0.7500 0.7500  4 V 2.86, 4 Pa 2.86
V 0.5000 0.5000 0.5000  4 Np 2.86, 4 Tc 2.86

Entry 5:
Material: NpPaTcW
Method: DFT, PBE
State: relaxed

Summary:
- Theoretical density: 16.6 g/cm3
- Energy of formation from the pure elements: 0.23 eV/atom
- Spin magnetization: 3.71 μB/cell

a = 4.7299 Å, b = 4.7299 Å, c = 4.7299 Å
α = 60.00°, β = 60.00°, γ = 60.00°
With the nearest neighbours (Å) after each atom.
Fractional coordinates of all 4 atoms:
Pa 0.7500 0.7500 0.7500  4 Tc 2.90, 4 Np 2.90
W 0.2500 0.2500 0.2500  4 Tc 2.90, 4 Np 2.90
Tc 0.0000 0.0000 0.0000  4 W 2.90, 4 Pa 2.90
Np 0.5000 0.5000 0.5000  4 W 2.90, 4 Pa 2.90

Entry 6:
Material: NpPaZnTc
Method: DFT, PBE
State: relaxed

Summary:
- Theoretical density: 14.1 g/cm3
- Energy of formation from the pure elements: -0.01 eV/atom
- Spin magnetization: 3.43 μB/cell

a = 4.7151 Å, b = 4.7151 Å, c = 4.7151 Å
α = 60.00°, β = 60.00°, γ = 60.00°
With the nearest neighbours (Å) after each atom.
Fractional coordinates of all 4 atoms:
Np 0.2500 0.2500 0.2500  4 Pa 2.89, 4 Zn 2.89
Pa 0.5000 0.5000 0.5000  4 Tc 2.89, 4 Np 2.89
Tc 0.7500 0.7500 0.7500  4 Pa 2.89, 4 Zn 2.89
Zn 0.0000 0.0000 0.0000  4 Np 2.89, 4 Tc 2.89

Q: Which formula does entry 5 have?
A: NpPaTcW

Q: Number 2 is which compound?
A: NpPaTa